# 1
DFT (PBE) results for a relaxed structure of YZn2Re.

abc: 3.029 4.929 9.482
angles: 90.00 90.00 90.00
Space group Imm2 (No. 44)
Unique sites:
Y  0.000  0.000  0.000 (multiplicity 2)
Zn  0.000  0.000  0.504 (multiplicity 2)
Zn  0.000  0.500  0.778 (multiplicity 2)
Re  0.000  0.500  0.234 (multiplicity 2)

Its formation energy is 0.9 eV/f.u.

***

# 2
DFT (PBE) results for a relaxed structure of YZn2Re.

abc: 6.622 6.622 6.622
angles: 90.00 90.00 90.00
Space group F-43m (No. 216)
Unique sites:
Y  0.000  0.000  0.000 (multiplicity 4)
Zn  0.000  0.000  0.500 (multiplicity 4)
Zn  0.250  0.250  0.250 (multiplicity 4)
Re  0.250  0.250  0.750 (multiplicity 4)

Its formation energy is 1.5 eV/f.u.